(1)
A plane-wave DFT calculation with PBE was carried out for a relaxed structure of NaSmZnHg.

```
NaSmZnHg
1.0
5.1459 0.0000 0.0000
2.5729 4.4565 0.0000
2.5729 1.4855 4.2016
Na Zn Hg Sm
1 1 1 1
Direct
0.7500 0.7500 0.7500
0.0000 0.0000 0.0000
0.5000 0.5000 0.5000
0.2500 0.2500 0.2500
```

Summary:
space group	No. 216
calculated formation energy	-0.9	eV/f.u.
Fermi-level density of states	2.56	states/eV/cell
mass density	7.572	g/cm³


(2)
A plane-wave DFT calculation with PBE was carried out for a relaxed structure of Na4SnHg7.

```
Na4SnHg7
1.0
5.5336 -0.0006 1.5045
2.1272 7.2483 3.1028
0.6151 0.2759 8.6738
Na Sn Hg
4 1 7
Direct
0.5566 0.6102 0.2766
0.4434 0.3898 0.7234
0.7345 0.7665 0.7644
0.2655 0.2335 0.2356
0.0000 0.0000 0.0000
0.7926 0.3738 0.0410
0.2074 0.6262 0.9590
0.0727 0.2499 0.6047
0.9273 0.7501 0.3953
0.3027 0.8432 0.5514
0.5000 0.0000 0.0000
0.6973 0.1568 0.4486
```

Summary:
space group	No. 12
calculated formation energy	-1.8	eV/f.u.
Fermi-level density of states	4.78	states/eV/cell
mass density	7.949	g/cm³


(3)
A plane-wave DFT calculation with PBE was carried out for a relaxed structure of Na5Sn2Hg.

```
Na5Sn2Hg
1.0
8.6512 0.0000 0.0000
0.0000 8.6512 0.0000
-4.3256 -4.3256 6.2899
Na Sn Hg
10 4 2
Direct
0.5138 0.6789 0.6927
0.8211 0.9862 0.3073
0.0000 0.0000 0.0000
0.5000 0.5000 0.0000
0.1789 0.0138 0.6927
0.6789 0.1789 0.6927
0.0138 0.5138 0.6927
0.3211 0.8211 0.3073
0.9862 0.4862 0.3073
0.4862 0.3211 0.3073
0.1225 0.3775 0.0000
0.6225 0.1225 0.0000
0.3775 0.8775 0.0000
0.8775 0.6225 0.0000
0.7500 0.7500 0.5000
0.2500 0.2500 0.5000
```

Summary:
space group	No. 140
calculated formation energy	-1.2	eV/f.u.
Fermi-level density of states	6.43	states/eV/cell
mass density	3.901	g/cm³


(4)
A plane-wave DFT calculation with PBE was carried out for a relaxed structure of Na2Sn5Hg.

```
Na2Sn5Hg
1.0
1.4888 -3.4853 4.9367
4.9167 -1.9529 -3.2785
8.0400 0.2335 3.3990
Na Sn Hg
2 5 1
Direct
0.9957 0.6097 0.6041
0.6097 0.9958 0.6041
0.7617 0.7616 0.0025
0.6889 0.1497 0.1448
0.1498 0.6889 0.1449
0.2609 0.2610 0.0499
0.2229 0.2229 0.4644
0.5333 0.5333 0.5395
```

Summary:
space group	No. 8
calculated formation energy	-0.7	eV/f.u.
Fermi-level density of states	3.18	states/eV/cell
mass density	6.213	g/cm³


(5)
A plane-wave DFT calculation with PBE was carried out for a relaxed structure of Na2SnHg4.

```
Na2SnHg4
1.0
4.8641 -0.0159 1.4725
2.1805 4.3480 1.4725
-0.2325 -0.1430 8.9965
Na Sn Hg
2 1 4
Direct
0.7476 0.7476 0.7567
0.2524 0.2524 0.2433
0.0000 0.0000 0.0000
0.8652 0.8652 0.3996
0.1348 0.1348 0.6004
0.6219 0.6219 0.1367
0.3781 0.3781 0.8633
```

Summary:
space group	No. 12
calculated formation energy	-1.0	eV/f.u.
Fermi-level density of states	2.76	states/eV/cell
E above lowest polymorph	0	meV per atom
mass density	8.336	g/cm³


(6)
A plane-wave DFT calculation with PBE was carried out for a relaxed structure of NaSnHg5.

```
NaSnHg5
1.0
-5.5700 -2.2599 -1.2277
3.5704 -6.0687 -5.0276
2.7290 0.3097 9.0084
Na Sn Hg
2 2 10
Direct
0.0000 0.0000 0.0000
0.5000 0.5000 0.0000
0.7500 0.2646 0.5000
0.2500 0.7354 0.5000
0.4192 0.7806 0.8766
0.4300 0.8623 0.2691
0.9192 0.5960 0.8766
0.7500 0.6623 0.5000
0.0700 0.0933 0.7309
0.9300 0.9067 0.2691
0.2500 0.3377 0.5000
0.0808 0.4040 0.1234
0.5700 0.1377 0.7309
0.5808 0.2194 0.1234
```

Summary:
space group	No. 15
calculated formation energy	-0.4	eV/f.u.
Fermi-level density of states	4.31	states/eV/cell
mass density	10.061	g/cm³


(7)
A plane-wave DFT calculation with PBE was carried out for a relaxed structure of Na16SnHg12.

```
Na16SnHg12
1.0
9.3233 0.0704 -3.4097
-4.5422 8.1423 -3.4097
0.0066 0.0114 10.2751
Na Sn Hg
16 1 12
Direct
0.3520 0.3520 0.3152
0.9982 0.9982 0.0131
0.9864 0.9864 0.6747
0.2916 0.2916 0.7026
0.6756 0.4246 0.0142
0.5795 0.2795 0.5834
0.0046 0.6964 0.4127
0.9989 0.6484 0.9979
0.7143 0.3251 0.3082
0.4063 0.9952 0.6827
0.9952 0.4063 0.6827
0.3251 0.7143 0.3082
0.6484 0.9989 0.9979
0.6964 0.0046 0.4127
0.2795 0.5795 0.5834
0.4246 0.6756 0.0142
0.6355 0.6355 0.3253
0.8164 0.8164 0.1828
0.6216 0.6216 0.8192
0.3643 0.1784 0.9804
0.8207 0.6222 0.6392
0.1968 0.9979 0.3682
0.3800 0.0028 0.1870
0.1920 0.7949 0.8098
0.7949 0.1920 0.8098
0.0028 0.3800 0.1870
0.9979 0.1968 0.3682
0.6222 0.8207 0.6392
0.1784 0.3643 0.9804
```

Summary:
space group	No. 8
calculated formation energy	-5.8	eV/f.u.
Fermi-level density of states	13.60	states/eV/cell
mass density	6.129	g/cm³


(8)
A plane-wave DFT calculation with PBE was carried out for a relaxed structure of Na3Sn2Hg2.

```
Na3Sn2Hg2
1.0
4.9134 -0.1992 -1.7561
-2.7696 4.4209 0.2232
-0.3157 0.3003 8.4645
Na Sn Hg
3 2 2
Direct
0.0000 0.0000 0.0000
0.7123 0.8620 0.5743
0.2877 0.1380 0.4257
0.1572 0.5838 0.7411
0.8428 0.4162 0.2589
0.4550 0.7189 0.1739
0.5450 0.2811 0.8261
```

Summary:
space group	No. 12
calculated formation energy	-1.2	eV/f.u.
Fermi-level density of states	2.75	states/eV/cell
E above lowest polymorph	18	meV per atom
mass density	6.605	g/cm³


(9)
A plane-wave DFT calculation with PBE was carried out for a relaxed structure of Na5SnHg4.

```
Na5SnHg4
1.0
3.6498 0.0000 0.0000
0.0000 3.6498 0.0000
0.0000 0.0000 19.5541
Na Sn Hg
5 1 4
Direct
0.5000 0.5000 0.1046
0.5000 0.5000 0.3047
0.5000 0.5000 0.5000
0.5000 0.5000 0.6953
0.5000 0.5000 0.8954
0.0000 0.0000 0.0000
0.0000 0.0000 0.2067
0.0000 0.0000 0.4028
0.0000 0.0000 0.5972
0.0000 0.0000 0.7933
```

Summary:
space group	No. 123
calculated formation energy	-2.2	eV/f.u.
Fermi-level density of states	4.02	states/eV/cell
mass density	6.604	g/cm³


(10)
A plane-wave DFT calculation with PBE was carried out for a relaxed structure of Na3SnHg4.

```
Na3SnHg4
1.0
6.9880 -0.3482 -0.8793
-3.7443 5.9104 0.8793
-3.7085 -1.5642 5.7902
Na Sn Hg
3 1 4
Direct
0.5614 0.2328 0.7942
0.8938 0.0000 0.8938
0.5614 0.7672 0.3285
0.3669 0.5000 0.8669
0.0582 0.7175 0.7758
0.0582 0.2825 0.3407
0.5716 0.2461 0.3255
0.0794 0.7539 0.3255
```

Summary:
space group	No. 44
calculated formation energy	-1.1	eV/f.u.
Fermi-level density of states	3.04	states/eV/cell
E above lowest polymorph	9	meV per atom
mass density	7.544	g/cm³


(11)
A plane-wave DFT calculation with PBE was carried out for a relaxed structure of Na3SnHg7.

```
Na3SnHg7
1.0
-0.5538 -2.5731 -2.6273
1.6390 -7.5173 9.6488
-12.7149 0.2960 2.3904
Na Sn Hg
6 2 14
Direct
0.0797 0.1594 0.4632
0.9203 0.8406 0.5368
0.2405 0.4809 0.7500
0.7595 0.5191 0.2500
0.0797 0.1594 0.0368
0.9203 0.8406 0.9632
0.9003 0.8005 0.2500
0.0997 0.1995 0.7500
0.3795 0.7591 0.7500
0.6205 0.2409 0.2500
0.4896 0.9792 0.3706
0.5104 0.0208 0.6294
0.5104 0.0208 0.8706
0.4896 0.9792 0.1294
0.3365 0.6729 0.4029
0.6635 0.3271 0.5971
0.2058 0.4116 0.4174
0.7942 0.5884 0.5826
0.7942 0.5884 0.9174
0.2058 0.4116 0.0826
0.3365 0.6729 0.0971
0.6635 0.3271 0.9029
```

Summary:
space group	No. 63
calculated formation energy	-1.7	eV/f.u.
Fermi-level density of states	2.62	states/eV/cell
mass density	9.004	g/cm³


(12)
A plane-wave DFT calculation with PBE was carried out for a relaxed structure of NaSnHg2.

```
NaSnHg2
1.0
-1.8685 2.4879 3.4329
3.1382 -1.7109 2.9480
7.0550 8.3027 0.9493
Na Hg Sn
2 4 2
Direct
0.5000 0.5000 0.0000
0.2500 0.7500 0.5000
0.6270 0.1250 0.2500
0.1230 0.6250 0.2500
0.3750 0.3730 0.7500
0.8750 0.8770 0.7500
0.0000 0.0000 0.0000
0.7500 0.2500 0.5000
```

Summary:
space group	No. 122
calculated formation energy	0.0	eV/f.u.
Fermi-level density of states	4.26	states/eV/cell
mass density	8.050	g/cm³


(13)
A plane-wave DFT calculation with PBE was carried out for a relaxed structure of Na2SnHg4.

```
Na2SnHg4
1.0
5.6588 0.0000 0.0000
0.0000 5.6588 0.0000
2.8294 2.8294 7.9609
Na Hg Sn
2 4 1
Direct
0.6120 0.6120 0.7761
0.3880 0.3880 0.2239
0.7995 0.7995 0.4009
0.2005 0.2005 0.5991
0.0000 0.5000 0.0000
0.5000 0.0000 0.0000
0.0000 0.0000 0.0000
```

Summary:
space group	No. 139
calculated formation energy	0.1	eV/f.u.
Fermi-level density of states	4.84	states/eV/cell
E above lowest polymorph	152	meV per atom
mass density	6.299	g/cm³


(14)
A plane-wave DFT calculation with PBE was carried out for a relaxed structure of Na2Sn3Hg2.

```
Na2Sn3Hg2
1.0
3.4361 0.0000 0.0000
0.0000 4.9379 0.0000
0.0000 -2.4690 10.8694
Na Sn Hg
2 3 2
Direct
0.0000 0.8452 0.6904
0.0000 0.1548 0.3096
0.5000 0.5711 0.1422
0.5000 0.4289 0.8578
0.0000 0.0000 0.0000
0.5000 0.7127 0.4253
0.5000 0.2873 0.5747
```

Summary:
space group	No. 65
calculated formation energy	-1.0	eV/f.u.
Fermi-level density of states	3.04	states/eV/cell
E above lowest polymorph	0	meV per atom
mass density	7.233	g/cm³


(15)
A plane-wave DFT calculation with PBE was carried out for a relaxed structure of Na8Sn3Hg2.

```
Na8Sn3Hg2
1.0
-3.5533 -7.9352 2.9417
3.3038 -8.8219 2.9728
-3.6887 -3.6819 8.3914
Na Sn Hg
8 3 2
Direct
0.0531 0.6315 0.6315
0.9469 0.3685 0.3685
0.0385 0.0854 0.0854
0.9615 0.9146 0.9146
0.5611 0.6133 0.1019
0.5611 0.1019 0.6133
0.4389 0.8981 0.3867
0.4389 0.3867 0.8981
0.5000 0.0000 0.0000
0.0000 0.2727 0.7273
0.0000 0.7273 0.2727
0.4229 0.2931 0.2931
0.5771 0.7069 0.7069
```

Summary:
space group	No. 12
calculated formation energy	-1.3	eV/f.u.
Fermi-level density of states	7.54	states/eV/cell
mass density	3.911	g/cm³


(16)
A plane-wave DFT calculation with PBE was carried out for a relaxed structure of NaSn3Hg.

```
NaSn3Hg
1.0
7.4674 0.0000 0.0000
0.0000 9.5940 -2.8984
0.0000 -4.1316 8.9821
Na Sn Hg
4 12 4
Direct
0.8041 0.5311 0.4398
0.1959 0.4689 0.5602
0.3041 0.9689 0.0602
0.6959 0.0311 0.9398
0.0625 0.2831 0.0693
0.9375 0.7169 0.9307
0.5625 0.2169 0.4307
0.4375 0.7831 0.5693
0.1354 0.6942 0.3118
0.8646 0.3058 0.6882
0.6354 0.8058 0.1882
0.3646 0.1942 0.8118
0.7985 0.9198 0.5314
0.2015 0.0802 0.4686
0.2985 0.5802 0.9686
0.7015 0.4198 0.0314
0.4400 0.3625 0.2406
0.5600 0.6375 0.7594
0.9400 0.1375 0.2594
0.0600 0.8625 0.7406
```

Summary:
space group	No. 14
calculated formation energy	-0.3	eV/f.u.
Fermi-level density of states	9.45	states/eV/cell
E above lowest polymorph	0	meV per atom
mass density	6.949	g/cm³


(17)
A plane-wave DFT calculation with PBE was carried out for a relaxed structure of NaSnHg2.

```
NaSnHg2
1.0
3.8578 0.0000 0.0000
0.0000 3.8578 0.0000
0.0000 0.0000 6.8354
Na Hg Sn
1 2 1
Direct
0.5000 0.5000 0.0000
0.0000 0.0000 0.7545
0.0000 0.0000 0.2455
0.5000 0.5000 0.5000
```

Summary:
space group	No. 123
calculated formation energy	-0.5	eV/f.u.
Fermi-level density of states	1.57	states/eV/cell
mass density	8.862	g/cm³


(18)
A plane-wave DFT calculation with PBE was carried out for a relaxed structure of NaSnHg4.

```
NaSnHg4
1.0
4.0358 0.0002 1.1673
2.3433 5.4244 -0.5407
0.0338 -1.9302 7.4436
Na Sn Hg
1 1 4
Direct
0.0000 0.0000 0.0000
0.5000 0.5000 0.5000
0.8327 0.4987 0.8360
0.3337 0.0004 0.3321
0.1673 0.5013 0.1640
0.6663 0.9996 0.6679
```

Summary:
space group	No. 12
calculated formation energy	-0.5	eV/f.u.
Fermi-level density of states	2.61	states/eV/cell
E above lowest polymorph	0	meV per atom
mass density	10.230	g/cm³


(19)
A plane-wave DFT calculation with PBE was carried out for a relaxed structure of Na2SnHg9.

```
Na2SnHg9
1.0
4.8011 0.0000 0.0000
0.0000 4.8011 0.0000
0.0000 0.0000 13.4716
Na Sn Hg
2 1 9
Direct
0.0000 0.0000 0.3332
0.0000 0.0000 0.6668
0.0000 0.0000 0.0000
0.5000 0.5000 0.0000
0.5000 0.5000 0.3280
0.5000 0.5000 0.6720
0.5000 0.0000 0.1680
0.5000 0.0000 0.5000
0.5000 0.0000 0.8320
0.0000 0.5000 0.1680
0.0000 0.5000 0.5000
0.0000 0.5000 0.8320
```

Summary:
space group	No. 123
calculated formation energy	-1.2	eV/f.u.
Fermi-level density of states	5.05	states/eV/cell
mass density	10.534	g/cm³


(20)
A plane-wave DFT calculation with PBE was carried out for a relaxed structure of NaSnHg6.

```
NaSnHg6
1.0
-2.7353 1.8172 -4.1946
-4.5647 -0.8221 2.6205
0.3414 6.8389 2.7402
Na Sn Hg
1 1 6
Direct
0.0000 0.0000 0.0000
0.0000 0.0000 0.5000
0.5000 0.5000 0.0000
0.5000 0.5000 0.5000
0.5000 0.0000 0.2528
0.5000 0.0000 0.7472
0.0000 0.5000 0.2528
0.0000 0.5000 0.7472
```

Summary:
space group	No. 123
calculated formation energy	-0.4	eV/f.u.
Fermi-level density of states	3.58	states/eV/cell
E above lowest polymorph	14	meV per atom
mass density	10.673	g/cm³